Entry 1:
An optimized crystal structure of Ba2SiPdBr. Source: Alexandria via LeMat-Bulk, functional PBE.

Results
- total moment (μB per atom) = 0.000
- V (A^3/atom) = 36.0
- formation energy (no corrections) (eV per atom) = -0.8722
- Fermi-level density of states (states/eV per atom) = 0.37

Cell lengths 6.272, 6.272, 4.573 Å; angles 90.00, 90.00, 90.00 degrees
Positions (direct):
Ba  0.000  0.500  0.000
Ba  0.500  0.000  0.000
Pd  0.000  0.000  0.000
Si  0.000  0.000  0.500
Br  0.500  0.500  0.500

***

Entry 2:
An optimized crystal structure of Ba6TePd2Br3. Source: Alexandria via LeMat-Bulk, functional PBE.

Results
- total moment (μB per atom) = 0.000
- V (A^3/atom) = 40.2
- formation energy (no corrections) (eV per atom) = -1.3103
- Fermi-level density of states (states/eV per atom) = 0.54

Cell lengths 4.691, 10.053, 10.886 Å; angles 105.65, 102.44, 90.00 degrees
Positions (direct):
Pd  0.169  0.337  0.338
Pd  0.831  0.663  0.662
Ba  0.671  0.118  0.343
Ba  0.985  0.744  0.970
Ba  0.323  0.435  0.647
Ba  0.677  0.565  0.353
Ba  0.329  0.882  0.657
Ba  0.015  0.256  0.030
Br  0.842  0.160  0.684
Br  0.158  0.840  0.316
Br  0.500  0.500  0.000
Te  0.500  0.000  0.000

***

Entry 3:
An optimized crystal structure of Ba4TePdBr2. Source: Alexandria via LeMat-Bulk, functional PBE.

Results
- total moment (μB per atom) = 0.000
- V (A^3/atom) = 40.9
- formation energy (no corrections) (eV per atom) = -1.3771
- Fermi-level density of states (states/eV per atom) = 0.79

Cell lengths 4.712, 8.462, 8.580 Å; angles 72.88, 90.00, 90.00 degrees
Positions (direct):
Pd  0.000  0.500  0.500
Br  0.000  0.000  0.000
Br  0.500  0.000  0.500
Ba  0.500  0.725  0.276
Ba  0.500  0.275  0.724
Ba  0.000  0.726  0.735
Ba  0.000  0.274  0.265
Te  0.500  0.500  0.000

***

Entry 4:
An optimized crystal structure of BaTiPd2Br. Source: Alexandria via LeMat-Bulk, functional PBE.

Results
- total moment (μB per atom) = 0.040
- V (A^3/atom) = 25.2
- formation energy (no corrections) (eV per atom) = -0.4673
- Fermi-level density of states (states/eV per atom) = 0.62

Cell lengths 4.960, 5.131, 4.960 Å; angles 90.00, 90.00, 90.00 degrees
Last column: magnetic moment on the atom in μB.
Positions (direct):
Ba  0.500  0.500  0.500  0.00
Br  0.000  0.500  0.000  0.00
Pd  0.500  0.000  0.000  0.01
Pd  0.000  0.000  0.500  -0.01
Ti  0.000  0.000  0.000  0.18